The following is a DFT calculation (PBE) of a relaxed structure of MnBeCuTe2.

a = 4.9243 Å, b = 4.5817 Å, c = 4.9243 Å
α = 90.00°, β = 90.00°, γ = 90.00°
Positions (direct):
1 Te 0.0000 0.0000 0.5000
2 Te 0.5000 0.0000 0.0000
3 Mn 0.0000 0.0000 0.0000
4 Be 0.5000 0.5000 0.5000
5 Cu 0.0000 0.5000 0.0000

Values from the calculation:
Space-group type   P4/mmm
Magnetic moment   0.0 Bohr magnetons per cell
Total DFT energy (no corrections)   -3.6436 eV/atom



The following is a DFT calculation (PBE) of a relaxed structure of TiMnBe2Cu.

a = 4.4262 Å, b = 4.1169 Å, c = 4.4262 Å
α = 90.00°, β = 90.00°, γ = 90.00°
Site moments in Bohr magnetons follow the coordinates.
Positions (direct):
1 Mn 0.0000 0.5000 0.0000  2.17
2 Be 0.5000 0.0000 0.0000  -0.15
3 Be 0.0000 0.0000 0.5000  -0.09
4 Ti 0.0000 0.0000 0.0000  -0.92
5 Cu 0.5000 0.5000 0.5000  -0.01

Values from the calculation:
Space-group type   P4/mmm
Magnetic moment   0.8 Bohr magnetons per cell
Total DFT energy (no corrections)   -4.2931 eV/atom



The following is a DFT calculation (PBE) of a relaxed structure of BeCuMo2.

a = 3.2120 Å, b = 3.2120 Å, c = 5.1322 Å
α = 90.00°, β = 90.00°, γ = 90.00°
Positions (direct):
1 Mo 0.0000 0.0000 0.0249
2 Mo 0.0000 0.0000 0.4751
3 Be 0.5000 0.5000 0.2500
4 Cu 0.5000 0.5000 0.7500

Values from the calculation:
Space-group type   P4/mmm
Magnetic moment   0.0 Bohr magnetons per cell
Total DFT energy (no corrections)   -7.1720 eV/atom



The following is a DFT calculation (PBE) of a relaxed structure of BeCuMo2.

a = 2.6462 Å, b = 2.6462 Å, c = 7.4399 Å
α = 90.00°, β = 90.00°, γ = 90.00°
Positions (direct):
1 Mo 0.0000 0.0000 0.9751
2 Mo 0.5000 0.5000 0.2922
3 Be 0.0000 0.0000 0.5272
4 Cu 0.5000 0.5000 0.7055

Values from the calculation:
Space-group type   P4mm
Magnetic moment   0.0 Bohr magnetons per cell
Total DFT energy (no corrections)   -7.2743 eV/atom



Number 1: D(E_F) 1.488 states/eV per atom. Number 2: D(E_F) 0.580 states/eV per atom. Number 3: D(E_F) 0.509 states/eV per atom. Number 4: D(E_F) 0.364 states/eV per atom.